Entry 1:
The following is a PBE calculation of a relaxed structure of LiErAlCu, from Alexandria.

POSCAR file:
```
LiErAlCu
1.0
4.5757 0.0000 0.0000
2.2878 3.9626 0.0000
2.2878 1.3209 3.7360
Er Li Cu Al
1 1 1 1
Cartesian
0.0000 0.0000 0.0000
6.8635 3.9626 2.8020
2.2878 1.3209 0.9340
4.5757 2.6418 1.8680
```

The formation energy is -0.333 eV/atom. Its total energy is -15.65 eV per cell.

***

Entry 2:
The following is a PBE calculation of a relaxed structure of Li3Er2AlCu12, from Alexandria.

POSCAR file:
```
Li3Er2AlCu12
1.0
11.4482 3.6347 2.5781
8.8143 8.1597 2.5781
8.8143 5.1306 6.8486
Cu Li Er Al
12 3 2 1
Cartesian
21.4293 10.9628 9.3766
13.2959 7.7393 3.9463
13.2959 6.2829 5.9996
7.6474 5.9622 2.6282
12.0295 8.4585 5.9996
21.4293 12.4736 7.2466
20.1156 13.2197 9.3766
15.7809 9.1858 8.0585
17.0473 8.4665 6.0052
15.7809 10.6421 6.0052
8.9612 3.7053 2.6282
7.6474 4.4514 4.7582
4.4071 2.5653 3.4243
5.7241 1.8174 1.2890
4.4071 4.0799 1.2890
18.7294 10.9021 7.7327
10.3473 6.0230 4.2721
0.0000 0.0000 0.0000
```

The formation energy is 0.038 eV/atom. Its total energy is -67.08 eV per cell.

***

Entry 3:
The following is a PBE calculation of a relaxed structure of ErLuAlCu, from Alexandria.

POSCAR file:
```
ErLuAlCu
1.0
-0.4189 -4.9450 0.0221
1.2960 -2.6180 -4.0119
4.0723 -2.8348 0.0960
Cu Er Lu Al
1 1 1 1
Cartesian
1.2374 -2.5994 -0.9734
0.0000 0.0000 0.0000
2.4747 -5.1989 -1.9469
3.7121 -7.7983 -2.9203
```

The formation energy is -0.308 eV/atom. Its total energy is -18.15 eV per cell.

***

Entry 4:
The following is a PBE calculation of a relaxed structure of ErMgAlCu, from Alexandria.

POSCAR file:
```
ErMgAlCu
1.0
-3.1287 1.2405 -3.3967
0.6804 -1.4258 -4.5132
-2.8748 -3.3016 -1.9235
Al Er Mg Cu
1 1 1 1
Cartesian
-3.9924 -2.6152 -7.3750
0.0000 0.0000 0.0000
-2.6616 -1.7435 -4.9167
-1.3308 -0.8717 -2.4583
```

The formation energy is -0.242 eV/atom. Its total energy is -14.96 eV per cell.

***

Entry 5:
The following is a PBE calculation of a relaxed structure of Er2MnAl3Cu12, from Alexandria.

POSCAR file:
```
Er2MnAl3Cu12
1.0
9.8217 2.3122 1.6400
6.8611 7.3985 1.6400
6.8611 3.9937 6.4404
Cu Mn Er Al
12 1 2 3
Cartesian
16.1727 11.1218 7.8886
12.5820 8.7005 4.7124
13.7792 6.6439 4.7124
12.5820 7.3238 6.6535
5.8860 5.1341 1.8319
10.9618 6.3807 3.0670
10.9618 5.0039 5.0080
17.6578 8.5704 7.8886
9.7647 7.0606 5.0080
5.8860 3.4262 4.2398
7.3712 2.5827 1.8319
17.6578 10.2783 5.4806
0.0000 0.0000 0.0000
8.3669 4.8702 3.4544
15.1770 8.8342 6.2660
3.4305 3.6993 0.8200
4.9109 1.1561 0.8200
3.4305 1.9969 3.2202
```

The formation energy is 0.123 eV/atom. Its total energy is -76.46 eV per cell.

***

Entry 6:
The following is a PBE calculation of a relaxed structure of NdErAlCu, from Alexandria.

POSCAR file:
```
NdErAlCu
1.0
-3.5095 2.8482 2.3822
-0.3827 -0.1485 5.0927
1.4445 4.0298 2.7889
Al Nd Er Cu
1 1 1 1
Cartesian
-1.8357 5.0472 7.6978
-1.2238 3.3648 5.1319
0.0000 0.0000 0.0000
-0.6119 1.6824 2.5659
```

The formation energy is -0.243 eV/atom. Its total energy is -18.14 eV per cell.

***

Entry 7:
The following is a PBE calculation of a relaxed structure of Er2Al2CuNi5, from Alexandria.

POSCAR file:
```
Er2Al2CuNi5
1.0
3.1884 0.0000 0.0000
0.0000 9.6883 0.0000
0.0000 0.0000 9.6883
Ni Al Er Cu
10 4 4 2
Cartesian
1.5942 1.8912 0.5272
1.5942 7.7970 9.1611
1.5942 0.5272 7.7970
1.5942 6.7354 4.3170
1.5942 4.8441 0.0000
1.5942 4.3170 2.9529
1.5942 9.1611 1.8912
1.5942 5.3713 6.7354
1.5942 2.9529 5.3713
1.5942 0.0000 4.8441
0.0000 6.0651 8.4673
0.0000 8.4673 3.6232
0.0000 3.6232 1.2209
0.0000 1.2209 6.0651
0.0000 8.0022 6.5302
0.0000 3.1580 8.0022
0.0000 1.6861 3.1580
0.0000 6.5302 1.6861
0.0000 0.0000 0.0000
0.0000 4.8441 4.8441
```

The formation energy is -0.287 eV/atom. Its total energy is -104.96 eV per cell.

***

Entry 8:
The following is a PBE calculation of a relaxed structure of Er2Al3Cu12Ni, from Alexandria.

POSCAR file:
```
Er2Al3Cu12Ni
1.0
11.3164 3.5652 2.5288
8.6887 8.0794 2.5288
8.6887 5.0576 6.7891
Cu Al Er Ni
12 3 2 1
Cartesian
19.8285 13.0574 9.2615
8.8654 3.6448 2.5852
21.1463 10.7934 9.2615
16.8120 8.3409 5.9162
15.5555 10.4996 5.9162
11.8819 8.3613 5.9306
15.5555 9.0546 7.9534
13.1384 6.2026 5.9306
7.5475 5.9088 2.5852
21.1463 12.3089 7.1248
13.1384 7.6476 3.8933
7.5475 4.3933 4.7219
4.3444 4.0397 1.2644
5.6582 1.7826 1.2644
4.3444 2.5288 3.3946
10.1898 5.9313 4.2070
18.5041 10.7709 7.6397
0.0000 0.0000 0.0000
```

The formation energy is 0.040 eV/atom. Its total energy is -74.58 eV per cell.

***

Entry 9:
The following is a PBE calculation of a relaxed structure of Er2Al4Cu3Ni, from Alexandria.

POSCAR file:
```
Er2Al4Cu3Ni
1.0
-0.1663 -2.7809 -2.9954
-0.2296 -2.9867 2.7857
-10.1140 0.6974 -0.0859
Al Cu Er Ni
4 3 2 1
Cartesian
-3.9215 -1.2309 1.3605
0.0000 0.0000 0.0000
-6.3904 -0.9556 -1.5513
-0.1980 -2.8838 -0.1048
-5.0570 0.3487 -0.0430
-8.7890 -0.7902 -1.5716
-1.5229 -1.3963 1.3809
-2.6805 -1.2114 -1.5197
-7.6314 -0.9751 1.3290
-5.2549 -2.5352 -0.1478
```

The formation energy is -0.441 eV/atom. Its total energy is -46.58 eV per cell.

***

Entry 10:
The following is a PBE calculation of a relaxed structure of ErAlCuNi, from Alexandria.

POSCAR file:
```
ErAlCuNi
1.0
4.2170 0.0000 0.0000
-2.1085 3.6561 0.0007
0.0000 -2.4303 4.3987
Al Ni Cu Er
1 1 1 1
Cartesian
0.0000 0.8724 0.0612
2.1085 2.0919 0.4554
0.0000 0.8784 3.7970
2.1085 -0.3432 2.1422
```

The formation energy is -0.471 eV/atom. Its total energy is -20.07 eV per cell.

***

Entry 11:
The following is a PBE calculation of a relaxed structure of ErPaAlCu, from Alexandria.

POSCAR file:
```
ErPaAlCu
1.0
4.9712 0.0000 0.0000
2.4856 4.3052 0.0000
2.4856 1.4351 4.0589
Al Er Pa Cu
1 1 1 1
Cartesian
7.4567 4.3052 3.0442
0.0000 0.0000 0.0000
4.9712 2.8701 2.0295
2.4856 1.4351 1.0147
```

The formation energy is -0.019 eV/atom. Its total energy is -21.97 eV per cell.

***

Entry 12:
The following is a PBE calculation of a relaxed structure of ErAl2CuPd4, from Alexandria.

POSCAR file:
```
ErAl2CuPd4
1.0
-3.6919 -2.2575 -0.5850
-0.2903 -4.1178 1.4242
-4.0113 0.4651 7.2218
Al Er Pd Cu
2 1 4 1
Cartesian
-2.0934 -1.3858 2.2611
-5.9000 -4.5244 5.7998
0.0000 0.0000 0.0000
-2.9964 -0.5144 4.5966
-4.9970 -5.3958 3.4643
-3.1356 -3.7861 1.8031
-4.8578 -2.1240 6.2578
-3.9967 -2.9551 4.0305
```

The formation energy is -0.739 eV/atom. Its total energy is -42.83 eV per cell.

***

What is the formula in the twelfth record?
ErAl2CuPd4

***

Repeat the eleventh record exactly.
The following is a PBE calculation of a relaxed structure of ErPaAlCu, from Alexandria.

POSCAR file:
```
ErPaAlCu
1.0
4.9712 0.0000 0.0000
2.4856 4.3052 0.0000
2.4856 1.4351 4.0589
Al Er Pa Cu
1 1 1 1
Cartesian
7.4567 4.3052 3.0442
0.0000 0.0000 0.0000
4.9712 2.8701 2.0295
2.4856 1.4351 1.0147
```

The formation energy is -0.019 eV/atom. Its total energy is -21.97 eV per cell.